# 1
## ZnPWCl2 (PBE)

Data for a relaxed ZnPWCl2 crystal.

a = 4.3392 Å, b = 4.3392 Å, c = 6.6809 Å
α = 90.00°, β = 90.00°, γ = 90.00°
Closest atoms and distances in Å follow each position.
Positions (direct):
Zn  0.0000  0.0000  0.0000  4 Cl 2.17
P  0.0000  0.0000  0.5000  4 W 3.07, 2 Zn 3.34
W  0.5000  0.5000  0.5000  4 P 3.07
Cl  0.0000  0.5000  0.0000  2 Zn 2.17
Cl  0.5000  0.0000  0.0000  2 Zn 2.17

## Properties
The space group is P4/mmm (123). As for the formation energy without anion corrections: 0.97 eV per atom. As for the total magnetization: 3.00 μB per formula unit. As for the total energy: -3.69 eV per atom. As for the polymorph energy (0 for the lowest one): 747 meV/atom.

# 2
## Pu2MgGe (PBE)

Data for a relaxed Pu2MgGe crystal.

a = 3.3134 Å, b = 3.3134 Å, c = 10.6472 Å
α = 81.05°, β = 81.05°, γ = 60.00°
Closest atoms and distances in Å follow each position.
Positions (direct):
Mg  0.5000  0.5000  0.5000  6 Mg 3.31, 6 Pu 3.49
Ge  0.0000  0.0000  0.0000  6 Pu 3.01, 6 Ge 3.31
Pu  0.7404  0.7404  0.7787  3 Ge 3.01, 6 Pu 3.31
Pu  0.2596  0.2596  0.2213  3 Ge 3.01, 6 Pu 3.31

## Properties
The space group is R-3m (166). The calculated formation energy is 0.028 eV/atom. As for the total magnetization: 11.81 μB per formula unit. As for the total energy: -8.69 eV per atom. As for the polymorph energy (0 for the lowest one): 209 meV/atom.

# 3
## MgNb2BiPd (PBE)

Data for a relaxed MgNb2BiPd crystal.

a = 5.2442 Å, b = 5.1113 Å, c = 5.2442 Å
α = 90.00°, β = 90.00°, γ = 90.00°
Closest atoms and distances in Å follow each position.
Positions (direct):
Bi  0.0000  0.0000  0.0000  2 Mg 2.56, 4 Nb 2.62
Nb  0.5000  0.0000  0.0000  2 Bi 2.62
Nb  0.0000  0.0000  0.5000  2 Bi 2.62
Mg  0.0000  0.5000  0.0000  2 Bi 2.56
Pd  0.5000  0.5000  0.5000  8 Nb 3.66, 4 Mg 3.71

## Properties
The space group is P4/mmm (123). The calculated formation energy is 1.640 eV/atom. As for the total magnetization: 2.93 μB per formula unit. As for the total energy: -4.52 eV per atom.

# 4
## Cs2CeVS4 (PBE)

Data for a relaxed Cs2CeVS4 crystal.

a = 7.2623 Å, b = 7.2623 Å, c = 7.2623 Å
α = 95.43°, β = 116.92°, γ = 116.92°
Closest atoms and distances in Å follow each position.
Positions (direct):
Ce  0.5000  0.2500  0.7500  4 S 2.68
Cs  0.0000  0.0000  0.0000  4 S 3.63
S  0.3636  0.8418  0.7555  1 V 2.31
V  0.0000  0.5000  0.5000  4 S 2.31
S  0.0862  0.2445  0.6081  1 V 2.31
S  0.6364  0.3919  0.4781  1 V 2.31
Cs  0.5000  0.7500  0.2500  4 S 3.49
S  0.9138  0.5219  0.1582  1 V 2.31

## Properties
The space group is I-4 (82). As for the formation energy without anion corrections: -1.23 eV per atom. As for the total magnetization: 3.00 μB per formula unit. As for the total energy: -5.39 eV per atom.